No. 1
Entry from Alexandria: TeOsC3 after structural relaxation (PBEsol).

formation energy without anion corrections: 3513.4 meV/atom
crystal system: cubic
space-group type: Pm-3m, No. 221

Unit cell a=4.047 b=4.047 c=4.047 alpha=90.00 beta=90.00 gamma=90.00
Fractional positions:
Te 0.000 0.000 0.000
Os 0.500 0.500 0.500
C 0.000 0.000 0.500
C 0.000 0.500 0.000
C 0.500 0.000 0.000

No. 2
Entry from Alexandria: Ti3OsC after structural relaxation (PBEsol).

crystal system: cubic
DFT formation energy: 8.4 eV per formula unit
space-group type: Pm-3m, No. 221

Unit cell a=4.638 b=4.638 c=4.638 alpha=90.00 beta=90.00 gamma=90.00
Fractional positions:
Ti 0.000 0.000 0.500
Ti 0.000 0.500 0.000
Ti 0.500 0.000 0.000
Os 0.000 0.000 0.000
C 0.500 0.500 0.500

We obtain size of the total moment values of 0.22; 0.21 μB/atom for the records listed above, in that order.